# 1
The following is a DFT calculation (GGA-PBEsol) of a relaxed InAsBr2 crystal.

ρ (g/cm³): 5.94
DOS(E_F) (states/eV/atom): 0.540
Formation energy from raw total energies (meV/atom): -59.9
Total DFT energy (no corrections) (Ha/atom): -0.1109

abc: 3.4912 3.4912 8.0205
angles: 90.00 90.00 90.00
Positions (direct):
In (0.0000, 0.0000, 0.0000)
As (0.5000, 0.5000, 0.2227)
Br (0.0000, 0.0000, 0.4240)
Br (0.5000, 0.5000, 0.7842)


# 2
The following is a DFT calculation (GGA-PBEsol) of a relaxed Mg3Ag2 crystal.

E_form (kJ per mole of atoms): -14.28
ρ (g/cm³): 5.19
DOS(E_F) (states/eV/atom): 0.251
Total DFT energy (no corrections) (Ha/atom): -0.0920

abc: 7.4942 5.6054 8.5536
angles: 59.67 40.21 80.12
Positions (direct):
Mg (0.0000, 0.0000, 0.0000)
Mg (0.2500, 0.2500, 0.2500)
Mg (0.4360, 0.5610, 0.3561)
Mg (0.5610, 0.4360, 0.6468)
Mg (0.6032, 0.8939, 0.6890)
Mg (0.8939, 0.6032, 0.8140)
Ag (0.1408, 0.7863, 0.2592)
Ag (0.4363, 0.9908, 0.4637)
Ag (0.7863, 0.1408, 0.8137)
Ag (0.9908, 0.4363, 0.1092)


# 3
The following is a DFT calculation (GGA-PBEsol) of a relaxed PIrAu2 crystal.

E_form (kJ per mole of atoms): 45.41
ρ (g/cm³): 16.38
DOS(E_F) (states/eV/atom): 0.824
Total DFT energy (no corrections) (Ha/atom): -0.1983

abc: 3.7384 3.7384 4.4762
angles: 90.00 90.00 90.00
Positions (direct):
P (0.0000, 0.0000, 0.0000)
Ir (0.5000, 0.5000, 0.0000)
Au (0.0000, 0.5000, 0.5000)
Au (0.5000, 0.0000, 0.5000)


# 4
The following is a DFT calculation (GGA-PBEsol) of a relaxed RbIn2Ge2 crystal.

E_form (kJ per mole of atoms): -7.07
ρ (g/cm³): 5.73
DOS(E_F) (states/eV/atom): 0.312
Total DFT energy (no corrections) (Ha/atom): -0.1267

abc: 4.8230 4.8230 11.4771
angles: 90.00 90.00 90.00
Positions (direct):
Rb (0.0000, 0.0000, 0.0000)
Rb (0.5000, 0.5000, 0.5000)
In (0.0000, 0.0000, 0.3750)
In (0.0000, 0.0000, 0.6250)
In (0.5000, 0.5000, 0.1250)
In (0.5000, 0.5000, 0.8750)
Ge (0.0000, 0.5000, 0.2500)
Ge (0.0000, 0.5000, 0.7500)
Ge (0.5000, 0.0000, 0.2500)
Ge (0.5000, 0.0000, 0.7500)


# 5
The following is a DFT calculation (GGA-PBEsol) of a relaxed MnCdP3 crystal.

E_form (kJ per mole of atoms): 38.30
ρ (g/cm³): 5.07
DOS(E_F) (states/eV/atom): 0.637
Total DFT energy (no corrections) (Ha/atom): -0.1936

abc: 4.4015 4.4015 4.4015
angles: 90.00 90.00 90.00
Positions (direct):
Mn (0.0000, 0.0000, 0.0000)
Cd (0.5000, 0.5000, 0.5000)
P (0.0000, 0.0000, 0.5000)
P (0.0000, 0.5000, 0.0000)
P (0.5000, 0.0000, 0.0000)


# 6
The following is a DFT calculation (GGA-PBEsol) of a relaxed Ta2NiOs crystal.

E_form (kJ per mole of atoms): -8.55
ρ (g/cm³): 16.76
DOS(E_F) (states/eV/atom): 0.980
Total DFT energy (no corrections) (Ha/atom): -0.4027

abc: 3.1445 4.3500 8.8492
angles: 90.00 90.00 90.00
Positions (direct):
Ta (0.0000, 0.0000, 0.0000)
Ta (0.0000, 0.5000, 0.2432)
Ta (0.5000, 0.0000, 0.7432)
Ta (0.5000, 0.5000, 0.5000)
Ni (0.0000, 0.0000, 0.4986)
Ni (0.5000, 0.5000, 0.9986)
Os (0.0000, 0.5000, 0.7409)
Os (0.5000, 0.0000, 0.2409)


# 7
The following is a DFT calculation (GGA-PBEsol) of a relaxed TcAg2Hg crystal.

E_form (kJ per mole of atoms): 37.25
ρ (g/cm³): 12.87
DOS(E_F) (states/eV/atom): 0.718
Total DFT energy (no corrections) (Ha/atom): -0.1554

abc: 2.7775 2.7775 8.5996
angles: 90.00 90.00 90.00
Positions (direct):
Tc (0.0000, 0.0000, 0.0000)
Ag (0.0000, 0.0000, 0.4825)
Ag (0.5000, 0.5000, 0.2359)
Hg (0.5000, 0.5000, 0.7473)


# 8
The following is a DFT calculation (GGA-PBEsol) of a relaxed TcPOs2 crystal.

E_form (kJ per mole of atoms): 19.61
ρ (g/cm³): 15.25
DOS(E_F) (states/eV/atom): 0.815
Total DFT energy (no corrections) (Ha/atom): -0.3737

abc: 2.7929 3.7838 5.2503
angles: 90.00 90.00 90.00
Positions (direct):
Tc (0.0000, 0.0000, 0.0000)
P (0.5000, 0.5000, 0.8497)
Os (0.0000, 0.0000, 0.5260)
Os (0.5000, 0.5000, 0.3370)


# 9
The following is a DFT calculation (GGA-PBEsol) of a relaxed CaLaCd crystal.

E_form (kJ per mole of atoms): -18.47
ρ (g/cm³): 5.18
DOS(E_F) (states/eV/atom): 0.866
Total DFT energy (no corrections) (Ha/atom): -0.1133

abc: 3.6585 3.6585 13.9621
angles: 90.00 90.00 90.00
Positions (direct):
Ca (0.0000, 0.0000, 0.0000)
Ca (0.5000, 0.5000, 0.5000)
La (0.0000, 0.0000, 0.2869)
La (0.5000, 0.5000, 0.7869)
Cd (0.0000, 0.0000, 0.6393)
Cd (0.5000, 0.5000, 0.1393)


# 10
The following is a DFT calculation (GGA-PBEsol) of a relaxed HfAlSb2Cl crystal.

ρ (g/cm³): 6.73
DOS(E_F) (states/eV/atom): 0.741
Formation energy from raw total energies (meV/atom): 663.7
Total DFT energy (no corrections) (Ha/atom): -0.1646

abc: 5.1684 5.1684 4.4778
angles: 90.00 90.00 90.00
Positions (direct):
Hf (0.0000, 0.0000, 0.0000)
Al (0.5000, 0.5000, 0.0000)
Sb (0.0000, 0.5000, 0.5000)
Sb (0.5000, 0.0000, 0.5000)
Cl (0.5000, 0.5000, 0.5000)


# 11
The following is a DFT calculation (GGA-PBEsol) of a relaxed CaHBr crystal.

ρ (g/cm³): 3.59
DOS(E_F) (states/eV/atom): 0.000
Total DFT energy (no corrections) (Ha/atom): -0.1394

abc: 3.8187 3.8187 7.6824
angles: 90.00 90.00 90.00
Positions (direct):
Ca (0.2500, 0.2500, 0.1646)
Ca (0.7500, 0.7500, 0.8354)
H (0.2500, 0.7500, 0.0000)
H (0.7500, 0.2500, 0.0000)
Br (0.2500, 0.2500, 0.6689)
Br (0.7500, 0.7500, 0.3311)


# 12
The following is a DFT calculation (GGA-PBEsol) of a relaxed CaMn2Ag crystal.

E_form (kJ per mole of atoms): 57.63
ρ (g/cm³): 5.90
DOS(E_F) (states/eV/atom): 1.283
Total DFT energy (no corrections) (Ha/atom): -0.2074

abc: 4.0899 4.0899 8.6748
angles: 90.00 90.00 90.00
Positions (direct):
Ca (0.0000, 0.0000, 0.0000)
Ca (0.5000, 0.5000, 0.5000)
Mn (0.0000, 0.5000, 0.2500)
Mn (0.0000, 0.5000, 0.7500)
Mn (0.5000, 0.0000, 0.2500)
Mn (0.5000, 0.0000, 0.7500)
Ag (0.0000, 0.0000, 0.5000)
Ag (0.5000, 0.5000, 0.0000)


Question: The highest ρ belongs to which entry?
Answer: Ta2NiOs


Question: Which formula does entry 2 have?
Answer: Mg3Ag2


Please write out number 3 again, unchanged.
The following is a DFT calculation (GGA-PBEsol) of a relaxed PIrAu2 crystal.

E_form (kJ per mole of atoms): 45.41
ρ (g/cm³): 16.38
DOS(E_F) (states/eV/atom): 0.824
Total DFT energy (no corrections) (Ha/atom): -0.1983

abc: 3.7384 3.7384 4.4762
angles: 90.00 90.00 90.00
Positions (direct):
P (0.0000, 0.0000, 0.0000)
Ir (0.5000, 0.5000, 0.0000)
Au (0.0000, 0.5000, 0.5000)
Au (0.5000, 0.0000, 0.5000)